The following is a PBE calculation of crystalline TiCuPt2 at its relaxed geometry, from Alexandria via LeMat-Bulk.

The structure in POSCAR format:
```
TiCuPt2
1.0
1.8711 1.0803 5.6440
-1.8711 1.0803 5.6440
0.0000 -2.1605 5.6440
Ti Cu Pt
1 1 2
Direct
0.0000 0.0000 0.0000
0.8318 0.8318 0.8318
0.4161 0.4161 0.4161
0.5812 0.5812 0.5812
```

Computed properties:
- Calculated formation energy: -1.26 eV per formula unit
- Size of the total moment: 0.0 μB per formula unit
- DOS at the Fermi energy: 0.256 states/eV/atom
- Density: 12168 kg/m³